A geometry-optimized KFe2CuF8 structure, computed with PBE with a Hubbard U.

a b c (Å): 5.189 6.454 5.199
angles (deg): 90.00 95.40 90.00
Space group P2/m (No. 10)
Unique sites:
K1 0.000 0.000 0.000 [1 per cell]
Fe1 0.500 0.260 0.500 [2 per cell]
Cu1 0.000 0.500 0.000 [1 per cell]
F1 0.222 0.290 0.226 [4 per cell]
F2 0.327 0.500 0.675 [2 per cell]
F3 0.344 0.000 0.660 [2 per cell]

Computed properties:
spin magnetization	10.0	μB/f.u.
raw total energy	-0.1784	Ha/atom